A plane-wave DFT calculation with PBE was carried out for a relaxed RbNiPb crystal.

Structure (POSCAR):
```
RbNiPb
1.0
0.000 3.757 3.757
3.757 0.000 3.757
3.757 3.757 0.000
Pb Ni Rb
1 1 1
direct
0.750 0.750 0.750 Pb
0.250 0.250 0.250 Ni
0.000 0.000 0.000 Rb
```

Properties
Total moment ... 0.10 μB/cell
Energy above the most stable polymorph in this dataset ... 0.680 eV/atom
Crystal system ... cubic

***

A plane-wave DFT calculation with PBE was carried out for a relaxed Li3Mg2Hg crystal.

Structure (POSCAR):
```
Li3Mg2Hg
1.0
-2.290 0.409 4.104
3.868 -1.433 2.301
2.667 4.516 -1.672
Mg Li Hg
2 3 1
direct
0.244 0.500 0.996 Mg
0.757 0.000 0.008 Mg
0.076 0.000 0.644 Li
0.569 0.500 0.647 Li
0.431 0.000 0.351 Li
0.923 0.500 0.354 Hg
```

Properties
Total DFT energy (no corrections) ... -0.0630 Ha/atom
Crystal system ... monoclinic

***

A plane-wave DFT calculation with PBE was carried out for a relaxed InCuIrPt crystal.

Structure (POSCAR):
```
InCuIrPt
1.0
-2.683 -2.694 2.364
-2.094 1.558 3.637
-4.431 0.634 -0.068
In Ir Pt Cu
1 1 1 1
direct
0.000 0.000 0.000 In
0.250 0.250 0.250 Ir
0.500 0.500 0.500 Pt
0.750 0.750 0.750 Cu
```

Properties
Total moment ... 0.00 μB/cell
Energy above the most stable polymorph in this dataset ... 0.000 eV/atom
Crystal system ... cubic

***

A plane-wave DFT calculation with PBE was carried out for a relaxed TbDyBrNCl2 crystal.

Structure (POSCAR):
```
TbDyBrNCl2
1.0
8.777 -1.922 0.000
8.777 1.922 0.000
-6.263 0.000 9.177
Br Cl Tb Dy N
2 4 2 2 2
direct
0.959 0.959 0.763 Br
0.041 0.041 0.237 Br
0.210 0.210 0.618 Cl
0.673 0.673 0.013 Cl
0.790 0.790 0.382 Cl
0.327 0.327 0.987 Cl
0.421 0.421 0.540 Tb
0.579 0.579 0.460 Tb
0.137 0.137 0.793 Dy
0.863 0.863 0.207 Dy
0.425 0.425 0.342 N
0.575 0.575 0.658 N
```

Properties
Total moment ... 0.00 μB/cell
Energy above the most stable polymorph in this dataset ... 0.006 eV/atom
Crystal system ... monoclinic

***

A plane-wave DFT calculation with PBE was carried out for a relaxed AlZn crystal.

Structure (POSCAR):
```
AlZn
1.0
-0.989 1.246 -4.582
1.364 -5.142 -1.692
-4.451 -1.374 0.587
Al Zn
4 4
direct
0.336 0.000 0.500 Al
0.998 0.000 0.000 Al
0.833 0.749 0.500 Al
0.833 0.251 0.500 Al
0.001 0.500 0.000 Zn
0.499 0.748 0.000 Zn
0.499 0.252 0.000 Zn
0.333 0.500 0.500 Zn
```

Properties
Total DFT energy (no corrections) ... -0.0898 Ha/atom
Crystal system ... orthorhombic

***

A plane-wave DFT calculation with PBE was carried out for a relaxed YHg2Pd crystal.

Structure (POSCAR):
```
YHg2Pd
1.0
4.033 2.044 2.020
-0.434 2.945 3.958
1.607 -1.543 4.423
Hg Pd Y
2 1 1
direct
0.750 0.750 0.750 Hg
0.000 0.000 0.000 Hg
0.500 0.500 0.500 Pd
0.250 0.250 0.250 Y
```

Properties
E_form ... -466 meV/atom
Total moment ... 0.00 μB/cell
Crystal system ... cubic

***

- What is the formula in the fourth record?
  TbDyBrNCl2